Material: CaGaAg2C
Method: DFT, PBE
State: optimized geometry

Calculated values
calculated volume: 18.66 Å³/atom
SG: P4/mmm, No. 123
energy relative to the elements: 0.494 eV per atom
VASP energy: -17.5 eV per formula unit

```
CaGaAg2C
1.0
4.3775 0.0000 0.0000
0.0000 4.8692 0.0000
0.0000 0.0000 4.3775
C Ca Ga Ag
1 1 1 2
direct
0.0000 0.0000 0.0000
0.5000 0.5000 0.5000
0.0000 0.5000 0.0000
0.0000 0.0000 0.5000
0.5000 0.0000 0.0000
```

Material: CaLaAgC2
Method: DFT, PBE
State: optimized geometry

Calculated values
calculated volume: 21.52 Å³/atom
SG: P4/mmm, No. 123
energy relative to the elements: 2.003 eV per atom
VASP energy: -18.2 eV per formula unit

```
CaLaAgC2
1.0
4.5533 0.0000 0.0000
0.0000 5.1909 0.0000
0.0000 0.0000 4.5533
Ca C Ag La
1 2 1 1
direct
0.5000 0.5000 0.5000
0.0000 0.0000 0.5000
0.5000 0.0000 0.0000
0.0000 0.0000 0.0000
0.0000 0.5000 0.0000
```

Material: Ca2LaAgC
Method: DFT, PBE
State: optimized geometry

Calculated values
calculated volume: 26.52 Å³/atom
SG: P4/mmm, No. 123
energy relative to the elements: 0.001 eV per atom
VASP energy: -21.0 eV per formula unit

```
Ca2LaAgC
1.0
-3.6114 -2.3164 2.8144
3.6439 -2.1964 2.8681
-0.0884 3.9432 3.1320
Ca C Ag La
2 1 1 1
direct
0.0000 0.5000 0.0000
0.5000 0.0000 0.0000
0.0000 0.0000 0.0000
0.5000 0.5000 0.5000
0.0000 0.0000 0.5000
```

Material: Ca2MgAgC
Method: DFT, PBE
State: optimized geometry

Calculated values
calculated volume: 22.69 Å³/atom
SG: P4/mmm, No. 123
energy relative to the elements: 0.040 eV per atom
VASP energy: -17.5 eV per formula unit

```
Ca2MgAgC
1.0
-1.2425 4.4298 -2.2802
-2.6675 -2.5763 -3.5515
-3.5266 0.2725 2.4511
C Ca Mg Ag
1 2 1 1
direct
0.0000 0.0000 0.0000
0.0000 0.5000 0.0000
0.5000 0.0000 0.0000
0.0000 0.0000 0.5000
0.5000 0.5000 0.5000
```

Material: Ca2MnAgC
Method: DFT, PBE
State: optimized geometry

Calculated values
calculated volume: 20.57 Å³/atom
polymorph energy (0 for the lowest one): 0 meV/atom
SG: P4/mmm, No. 123
energy relative to the elements: -0.004 eV per atom
VASP energy: -25.3 eV per formula unit

```
Ca2MnAgC
1.0
5.1909 0.0000 0.0000
0.0000 5.1909 0.0000
0.0000 0.0000 3.8168
Ca Mn C Ag
2 1 1 1
direct
0.0000 0.5000 0.0000
0.5000 0.0000 0.0000
0.0000 0.0000 0.5000
0.0000 0.0000 0.0000
0.5000 0.5000 0.5000
```

Material: Ca2MnAgC
Method: DFT, PBE
State: optimized geometry

Calculated values
calculated volume: 21.91 Å³/atom
polymorph energy (0 for the lowest one): 550 meV/atom
SG: P4/mmm, No. 123
energy relative to the elements: 0.546 eV per atom
VASP energy: -22.5 eV per formula unit

```
Ca2MnAgC
1.0
5.1019 0.0000 0.0000
0.0000 4.2092 0.0000
0.0000 0.0000 5.1019
Ca Mn C Ag
2 1 1 1
direct
0.0000 0.0000 0.5000
0.5000 0.0000 0.0000
0.5000 0.5000 0.5000
0.0000 0.0000 0.0000
0.0000 0.5000 0.0000
```

Material: Ca2NiAgC
Method: DFT, PBE
State: optimized geometry

Calculated values
calculated volume: 19.48 Å³/atom
SG: P4/mmm, No. 123
energy relative to the elements: -0.148 eV per atom
VASP energy: -22.6 eV per formula unit

```
Ca2NiAgC
1.0
5.1738 0.0000 0.0000
0.0000 5.1738 0.0000
0.0000 0.0000 3.6392
Ni Ca C Ag
1 2 1 1
direct
0.0000 0.0000 0.5000
0.0000 0.5000 0.0000
0.5000 0.0000 0.0000
0.0000 0.0000 0.0000
0.5000 0.5000 0.5000
```

Material: Ca3AgC4O12
Method: DFT, PBE
State: optimized geometry

Calculated values
calculated volume: 13.18 Å³/atom
formation energy from raw total energies: -181.2 kJ/mol of atoms
SG: R32, No. 155
VASP energy: -142.8 eV per formula unit

```
Ca3AgC4O12
1.0
6.5868 0.1030 0.1430
-1.4871 6.4175 0.1430
-1.4871 -1.9014 6.1310
Ca Ag C O
3 1 4 12
direct
0.5272 0.4728 0.0000
0.4728 0.0000 0.5272
0.0000 0.5272 0.4728
0.0000 0.0000 0.0000
0.9745 0.0255 0.5000
0.0255 0.5000 0.9745
0.5000 0.9745 0.0255
0.5000 0.5000 0.5000
0.5000 0.3734 0.6266
0.8999 0.5000 0.1001
0.1001 0.8999 0.5000
0.5000 0.1001 0.8999
0.3770 0.9761 0.1555
0.1555 0.3770 0.9761
0.9761 0.1555 0.3770
0.6230 0.8445 0.0239
0.0239 0.6230 0.8445
0.8445 0.0239 0.6230
0.6266 0.5000 0.3734
0.3734 0.6266 0.5000
```

Material: CaAgC2O6
Method: DFT, PBE
State: optimized geometry

Calculated values
calculated volume: 12.92 Å³/atom
formation energy from raw total energies: -146.9 kJ/mol of atoms
SG: C2/c, No. 15
VASP energy: -68.3 eV per formula unit

```
CaAgC2O6
1.0
-0.4406 6.4451 1.2675
-0.7633 -2.9176 5.8519
6.3869 -0.6279 -0.8327
Ca Ag C O
2 2 4 12
direct
0.5947 0.4053 0.2500
0.4053 0.5947 0.7500
0.1110 0.8890 0.2500
0.8890 0.1110 0.7500
0.3949 0.0997 0.7350
0.9003 0.6051 0.7650
0.6051 0.9003 0.2650
0.0997 0.3949 0.2350
0.9599 0.5008 0.2286
0.4992 0.0401 0.2714
0.0401 0.4992 0.7714
0.5008 0.9599 0.7286
0.0589 0.2087 0.0978
0.7913 0.9411 0.4022
0.9411 0.7913 0.9022
0.2087 0.0589 0.5978
0.2844 0.4657 0.3754
0.5343 0.7156 0.1246
0.7156 0.5343 0.6246
0.4657 0.2844 0.8754
```

Material: CaAgCO4
Method: DFT, PBE
State: optimized geometry

Calculated values
calculated volume: 11.92 Å³/atom
formation energy from raw total energies: -115.0 kJ/mol of atoms
SG: Imma, No. 74
VASP energy: -42.3 eV per formula unit

```
CaAgCO4
1.0
5.4329 0.0000 0.0000
2.7165 5.5190 -0.6154
2.7165 1.0952 5.4441
Ca Ag C O
2 2 2 8
direct
0.0000 0.0000 0.0000
0.0000 0.5000 0.5000
0.5000 0.0000 0.5000
0.0000 0.0000 0.5000
0.6049 0.6451 0.1451
0.3951 0.3549 0.8549
0.6964 0.7047 0.9026
0.3036 0.5974 0.7953
0.6964 0.4026 0.2047
0.3036 0.2953 0.0974
0.2807 0.7476 0.2476
0.7242 0.7476 0.2476
0.2758 0.2524 0.7524
0.7193 0.2524 0.7524
```

Material: Ca2AgOsC
Method: DFT, PBE
State: optimized geometry

Calculated values
calculated volume: 20.46 Å³/atom
SG: P4/mmm, No. 123
energy relative to the elements: -0.016 eV per atom
VASP energy: -27.4 eV per formula unit

```
Ca2AgOsC
1.0
-4.1907 2.9374 0.3216
-2.5555 -3.8828 2.1650
1.1260 1.2211 3.5190
Ca Os C Ag
2 1 1 1
direct
0.0000 0.5000 0.0000
0.5000 0.0000 0.0000
0.0000 0.0000 0.5000
0.0000 0.0000 0.0000
0.5000 0.5000 0.5000
```

Material: Ca2AgRhC
Method: DFT, PBE
State: optimized geometry

Calculated values
calculated volume: 20.60 Å³/atom
polymorph energy (0 for the lowest one): 0 meV/atom
SG: P4/mmm, No. 123
energy relative to the elements: -0.220 eV per atom
VASP energy: -24.5 eV per formula unit

```
Ca2AgRhC
1.0
5.1638 0.0000 0.0000
0.0000 5.1638 0.0000
0.0000 0.0000 3.8635
Ca Rh C Ag
2 1 1 1
direct
0.0000 0.5000 0.0000
0.5000 0.0000 0.0000
0.0000 0.0000 0.5000
0.0000 0.0000 0.0000
0.5000 0.5000 0.5000
```